1.
Computed, not measured: an optimized crystal structure of Rb2LiP2S6 at the PBE level of DFT.

The space group is C2/m (No. 12) and the conventional cell measures 13.827, 6.360 and 7.490 Å, with angles of 90.00, 110.76 and 90.00 degrees. Symmetry generates all atoms from Rb at (0.219, 0.000, 0.204), Li at (0.000, 0.000, 0.500), P at (0.020, 0.500, 0.163), S at (0.057, 0.241, 0.792) and S at (0.173, 0.500, 0.295).

For the formation energy without anion corrections, the calculation gives -0.702 eV/atom.

***

2.
Computed, not measured: an optimized crystal structure of RbLiPS4 at the PBE level of DFT.

The space group is P2_1/m (No. 11) and the conventional cell measures 6.469, 6.193 and 9.538 Å, with angles of 90.00, 103.43 and 90.00 degrees. Symmetry generates all atoms from Rb at (0.219, 0.250, 0.025), Li at (0.153, 0.250, 0.536), P at (0.237, 0.750, 0.306), S at (0.032, 0.004, 0.307), S at (0.356, 0.750, 0.129) and S at (0.474, 0.750, 0.497).

For the formation energy without anion corrections, the calculation gives -0.685 eV/atom.

***

3.
Computed, not measured: an optimized crystal structure of RbLi2PS4 at the PBE level of DFT.

The space group is I-42m (No. 121) and the conventional cell measures 6.610, 6.610 and 8.432 Å, with angles of 90.00, 90.00 and 90.00 degrees. Symmetry generates all atoms from Rb at (0.000, 0.000, 0.000), Li at (0.000, 0.500, 0.250), P at (0.000, 0.000, 0.500) and S at (0.180, 0.180, 0.358).

For the formation energy without anion corrections, the calculation gives -0.950 eV/atom.

***

4.
Computed, not measured: an optimized crystal structure of RbLiSc2P at the PBE level of DFT.

The space group is P4/mmm (No. 123) and the conventional cell measures 5.148, 5.148 and 5.444 Å, with angles of 90.00, 90.00 and 90.00 degrees. Symmetry generates all atoms from Rb at (0.000, 0.000, 0.000), Li at (0.500, 0.500, 0.000), Sc at (0.000, 0.500, 0.500) and P at (0.500, 0.500, 0.500).

The formation energy is -46 meV per atom.

***

Calculated volume across the listed records, respectively: 27.994 26.549 23.023 28.854 A^3/atom.